Record 1
DFT (PBE-GGA) results for a relaxed Tb2PrUAs4 crystal.

Cell lengths 5.893, 5.893, 7.214 Å; angles 114.10, 114.10, 90.00 degrees
Fractional coordinates of all 8 atoms:
Tb (0.250, 0.750, 0.500)
Tb (0.000, 0.000, 0.000)
Pr (0.500, 0.500, 0.000)
U (0.750, 0.250, 0.500)
As (0.995, 0.495, 0.989)
As (0.505, 0.005, 0.011)
As (0.754, 0.754, 0.508)
As (0.246, 0.246, 0.492)

Results
SG: I-4m2 (119)
energy of formation: -10.486 eV/f.u.
crystal system: tetragonal

---

Record 2
DFT (PBE-GGA) results for a relaxed NaIn3Pb crystal.

Cell lengths 4.714, 8.234, 14.645 Å; angles 90.00, 90.00, 90.00 degrees
Fractional coordinates of all 20 atoms:
Na (0.250, 0.226, 0.133)
Na (0.750, 0.274, 0.633)
Na (0.750, 0.774, 0.867)
Na (0.250, 0.726, 0.367)
In (0.250, 0.136, 0.338)
In (0.750, 0.364, 0.838)
In (0.750, 0.864, 0.662)
In (0.250, 0.636, 0.162)
In (0.250, 0.391, 0.491)
In (0.750, 0.109, 0.991)
In (0.750, 0.609, 0.509)
In (0.250, 0.891, 0.009)
In (0.250, 0.539, 0.937)
In (0.750, 0.961, 0.437)
In (0.750, 0.461, 0.063)
In (0.250, 0.039, 0.563)
Pb (0.250, 0.076, 0.797)
Pb (0.750, 0.424, 0.297)
Pb (0.750, 0.924, 0.203)
Pb (0.250, 0.576, 0.703)

Results
SG: Pnma (62)
energy of formation: -0.082 eV/f.u.
crystal system: orthorhombic
polymorph energy (0 for the lowest one): 0.0 meV per atom

---

Record 3
DFT (PBE-GGA) results for a relaxed Th6Re2Tc crystal.

Cell lengths 4.368, 7.882, 7.882 Å; angles 120.00, 90.00, 90.00 degrees
Fractional coordinates of all 9 atoms:
Th (0.000, 0.746, 0.000)
Th (0.000, 0.254, 0.254)
Th (0.000, 0.000, 0.746)
Th (0.500, 0.000, 0.423)
Th (0.500, 0.577, 0.577)
Th (0.500, 0.423, 0.000)
Re (0.000, 0.667, 0.333)
Re (0.000, 0.333, 0.667)
Tc (0.500, 0.000, 0.000)

Results
SG: P-62m (189)
energy of formation: 0.123 eV/f.u.
crystal system: hexagonal

---

Record 4
DFT (PBE-GGA) results for a relaxed LuAlCuIr crystal.

Cell lengths 4.526, 4.526, 4.526 Å; angles 60.00, 60.00, 60.00 degrees
Fractional coordinates of all 4 atoms:
Ir (0.000, 0.000, 0.000)
Lu (0.250, 0.250, 0.250)
Al (0.750, 0.750, 0.750)
Cu (0.500, 0.500, 0.500)

Results
SG: F-43m (216)
energy of formation: -2.394 eV/f.u.
crystal system: cubic

---

Record 5
DFT (PBE-GGA) results for a relaxed BaY3 crystal.

Cell lengths 6.435, 6.435, 6.525 Å; angles 80.61, 80.61, 33.34 degrees
Fractional coordinates of all 4 atoms:
Ba (0.000, 0.000, 0.000)
Y (0.500, 0.500, 0.500)
Y (0.243, 0.243, 0.268)
Y (0.757, 0.757, 0.732)

Results
SG: C2/m (12)
energy of formation: 0.817 eV/f.u.
crystal system: monoclinic
polymorph energy (0 for the lowest one): 62.4 meV per atom

---

Record 6
DFT (PBE-GGA) results for a relaxed CaTb3Mn crystal.

Cell lengths 5.365, 5.365, 5.365 Å; angles 90.00, 90.00, 90.00 degrees
Fractional coordinates of all 5 atoms:
Ca (0.500, 0.500, 0.500)
Mn (0.000, 0.000, 0.000)
Tb (0.000, 0.500, 0.000)
Tb (0.000, 0.000, 0.500)
Tb (0.500, 0.000, 0.000)

Results
SG: Pm-3m (221)
energy of formation: 0.868 eV/f.u.
crystal system: cubic

---

Record 7
DFT (PBE-GGA) results for a relaxed DyScTlIr crystal.

Cell lengths 4.964, 4.964, 4.964 Å; angles 60.00, 60.00, 60.00 degrees
Fractional coordinates of all 4 atoms:
Sc (0.250, 0.250, 0.250)
Tl (0.500, 0.500, 0.500)
Ir (0.000, 0.000, 0.000)
Dy (0.750, 0.750, 0.750)

Results
SG: F-43m (216)
energy of formation: -1.911 eV/f.u.
crystal system: cubic
polymorph energy (0 for the lowest one): 144.5 meV per atom

---

Record 8
DFT (PBE-GGA) results for a relaxed RuPt2W crystal.

Cell lengths 2.780, 2.780, 7.932 Å; angles 90.00, 90.00, 90.00 degrees
Fractional coordinates of all 4 atoms:
Pt (0.000, 0.000, 0.990)
Pt (0.500, 0.500, 0.258)
Ru (0.000, 0.000, 0.510)
W (0.500, 0.500, 0.742)

Results
SG: P4mm (99)
energy of formation: -0.479 eV/f.u.
crystal system: tetragonal
polymorph energy (0 for the lowest one): 71.9 meV per atom